First-principles (PBE-GGA) data for a geometry-optimized TePtSeN2 structure, as listed in Alexandria.

a b c (Å): 3.8276 3.8276 8.4254
angles (deg): 90.00 90.00 90.00
With the nearest neighbours (Å) after each atom.
Sites, in units of the cell vectors:
1 Te 0.0000 0.0000 0.0000  4 Se 2.71
2 Pt 0.0000 0.0000 0.5000  4 N 1.91
3 Se 0.5000 0.5000 0.0000  4 Te 2.71
4 N 0.0000 0.5000 0.5000  2 Pt 1.91
5 N 0.5000 0.0000 0.5000  2 Pt 1.91

Results
DFT total energy   -23.76 eV per cell
Formation energy (no corrections)   1.111 eV per atom
Total moment   0.000 μB per atom
E above lowest polymorph   0 meV per atom

=====

First-principles (PBE-GGA) data for a geometry-optimized CsTaSe3 structure, as listed in Alexandria.

a b c (Å): 6.2055 7.7799 13.5559
angles (deg): 90.00 90.00 90.00
With the nearest neighbours (Å) after each atom.
Sites, in units of the cell vectors:
1 Cs 0.2489 0.2500 0.0893  12 Se 3.84-4.14
2 Cs 0.2511 0.7500 0.5893  12 Se 3.84-4.14
3 Cs 0.7489 0.2500 0.4107  12 Se 3.84-4.14
4 Cs 0.7511 0.7500 0.9107  12 Se 3.84-4.14
5 Ta 0.0300 0.2500 0.7735  4 Se 2.44-2.64
6 Ta 0.4700 0.7500 0.2735  4 Se 2.44-2.64
7 Ta 0.5300 0.2500 0.7265  4 Se 2.44-2.64
8 Ta 0.9700 0.7500 0.2265  4 Se 2.44-2.64
9 Se 0.2275 0.2500 0.6012  2 Ta 2.53-2.64
10 Se 0.2416 0.5166 0.3328  1 Ta 2.44
11 Se 0.2416 0.9834 0.3328  1 Ta 2.44
12 Se 0.2584 0.0166 0.8328  1 Ta 2.44
13 Se 0.2584 0.4834 0.8328  1 Ta 2.44
14 Se 0.2725 0.7500 0.1012  2 Ta 2.53-2.64
15 Se 0.7275 0.2500 0.8988  2 Ta 2.53-2.64
16 Se 0.7416 0.5166 0.1672  1 Ta 2.44
17 Se 0.7416 0.9834 0.1672  1 Ta 2.44
18 Se 0.7584 0.0166 0.6672  1 Ta 2.44
19 Se 0.7584 0.4834 0.6672  1 Ta 2.44
20 Se 0.7725 0.7500 0.3988  2 Ta 2.53-2.64

Results
DFT total energy   -112.74 eV per cell
Formation energy (no corrections)   -1.005 eV per atom
Total moment   0.000 μB per atom
E above lowest polymorph   0 meV per atom

=====

First-principles (PBE-GGA) data for a geometry-optimized CaMg2Pb structure, as listed in Alexandria.

a b c (Å): 3.7781 3.7781 7.6566
angles (deg): 90.00 90.00 90.00
With the nearest neighbours (Å) after each atom.
Sites, in units of the cell vectors:
1 Ca 0.0000 0.0000 0.0000  4 Pb 3.42, 5 Mg 3.45-3.77, 4 Ca 3.78
2 Mg 0.0000 0.0000 0.4926  4 Mg 3.11, 4 Pb 3.19
3 Mg 0.5000 0.5000 0.2843  4 Mg 3.11, 1 Pb 3.34, 4 Ca 3.45
4 Pb 0.5000 0.5000 0.7201  5 Mg 3.19-3.34, 4 Ca 3.42

Results
DFT total energy   -9.60 eV per cell
Formation energy from the elements   -0.175 eV/atom
Total moment   0.000 μB per atom
E above lowest polymorph   66 meV per atom

=====

First-principles (PBE-GGA) data for a geometry-optimized Li2LaCl structure, as listed in Alexandria.

a b c (Å): 3.5550 4.6903 6.3814
angles (deg): 90.00 90.00 90.00
With the nearest neighbours (Å) after each atom.
Sites, in units of the cell vectors:
1 Li 0.0000 0.0000 0.0000  4 Li 2.94
2 Li 0.5000 0.5000 0.0000  4 Li 2.94
3 La 0.0000 0.5000 0.5000  4 Cl 2.94
4 Cl 0.5000 0.0000 0.5000  4 La 2.94

Results
DFT total energy   -12.83 eV per cell
Formation energy (no corrections)   -0.556 eV per atom
Total moment   0.000 μB per atom
E above lowest polymorph   164 meV per atom

=====

First-principles (PBE-GGA) data for a geometry-optimized CaTi2SI structure, as listed in Alexandria.

a b c (Å): 5.3141 5.3141 4.8719
angles (deg): 90.00 90.00 90.00
With the nearest neighbours (Å) after each atom.
Sites, in units of the cell vectors:
1 Ca 0.0000 0.0000 0.0000  2 S 2.44, 4 Ti 2.66
2 Ti 0.0000 0.5000 0.0000  2 Ca 2.66
3 Ti 0.5000 0.0000 0.0000  2 Ca 2.66
4 S 0.0000 0.0000 0.5000  2 Ca 2.44
5 I 0.5000 0.5000 0.5000  8 Ti 3.60, 4 S 3.76

Results
DFT total energy   -18.15 eV per cell
Formation energy (no corrections)   1.064 eV per atom
Total moment   0.000 μB per atom
E above lowest polymorph   365 meV per atom

=====

First-principles (PBE-GGA) data for a geometry-optimized CaBi3As structure, as listed in Alexandria.

a b c (Å): 5.6149 5.6149 5.6149
angles (deg): 90.00 90.00 90.00
With the nearest neighbours (Å) after each atom.
Sites, in units of the cell vectors:
1 Ca 0.0000 0.0000 0.0000  12 Bi 3.97
2 Bi 0.0000 0.5000 0.5000  2 As 2.81
3 Bi 0.5000 0.0000 0.5000  2 As 2.81
4 Bi 0.5000 0.5000 0.0000  2 As 2.81
5 As 0.5000 0.5000 0.5000  6 Bi 2.81

Results
DFT total energy   -17.56 eV per cell
Formation energy from the elements   0.146 eV/atom
Total moment   0.000 μB per atom
E above lowest polymorph   0 meV per atom

=====

First-principles (PBE-GGA) data for a geometry-optimized NdY2Cl structure, as listed in Alexandria.

a b c (Å): 11.3714 11.3714 11.3714
angles (deg): 17.58 17.58 17.58
With the nearest neighbours (Å) after each atom.
Sites, in units of the cell vectors:
1 Nd 0.0000 0.0000 0.0000  2 Y 3.40, 6 Nd 3.48
2 Y 0.1014 0.1014 0.1014  3 Cl 2.97
3 Y 0.8986 0.8986 0.8986  3 Cl 2.97
4 Cl 0.5000 0.5000 0.5000  6 Y 2.97

Results
DFT total energy   -21.14 eV per cell
Formation energy (no corrections)   -0.400 eV per atom
Total moment   0.000 μB per atom

=====

First-principles (PBE-GGA) data for a geometry-optimized ZnIn2PbSe structure, as listed in Alexandria.

a b c (Å): 5.9881 5.9881 5.5787
angles (deg): 90.00 90.00 90.00
With the nearest neighbours (Å) after each atom.
Sites, in units of the cell vectors:
1 Zn 0.0000 0.0000 0.0000  8 In 4.09, 4 Se 4.23
2 In 0.0000 0.5000 0.5000  2 Pb 2.99
3 In 0.5000 0.0000 0.5000  2 Pb 2.99
4 Pb 0.5000 0.5000 0.5000  2 Se 2.79, 4 In 2.99
5 Se 0.5000 0.5000 0.0000  2 Pb 2.79

Results
DFT total energy   -11.74 eV per cell
Formation energy (no corrections)   0.441 eV per atom
Total moment   0.000 μB per atom

=====

First-principles (PBE-GGA) data for a geometry-optimized Ca7Hg2Pd2 structure, as listed in Alexandria.

a b c (Å): 9.6321 9.6321 9.6321
angles (deg): 155.05 67.05 118.89
With the nearest neighbours (Å) after each atom.
Sites, in units of the cell vectors:
1 Ca 0.0000 0.0000 0.0000  3 Hg 3.19-3.21
2 Ca 0.2924 0.4146 0.8778  2 Pd 3.05, 3 Hg 3.20-3.29
3 Ca 0.3055 0.6197 0.6858  3 Pd 2.99-3.16, 1 Hg 3.24
4 Ca 0.5369 0.4146 0.1222  2 Pd 3.05, 3 Hg 3.20-3.29
5 Ca 0.6059 0.2508 0.3551  2 Pd 3.05, 2 Hg 3.21
6 Ca 0.8957 0.2508 0.6449  2 Pd 3.05, 2 Hg 3.21
7 Ca 0.9339 0.6197 0.3142  3 Pd 2.99-3.16, 1 Hg 3.24
8 Hg 0.2476 0.7476 0.5000  8 Ca 3.19-3.29
9 Hg 0.6723 0.6723 0.0000  7 Ca 3.20-3.21
10 Pd 0.1566 0.9179 0.2387  7 Ca 2.99-3.16
11 Pd 0.6792 0.9179 0.7613  7 Ca 2.99-3.16

Results
DFT total energy   -30.46 eV per cell
Formation energy from the elements   -0.496 eV/atom
Total moment   0.000 μB per atom

=====

First-principles (PBE-GGA) data for a geometry-optimized PrGa4Rh4 structure, as listed in Alexandria.

a b c (Å): 8.2291 8.2291 4.8902
angles (deg): 90.00 90.00 90.00
With the nearest neighbours (Å) after each atom.
Sites, in units of the cell vectors:
1 Pr 0.2500 0.2500 0.2500  4 Rh 3.15, 8 Ga 3.34-3.47
2 Pr 0.7500 0.7500 0.7500  4 Rh 3.15, 8 Ga 3.34-3.47
3 Ga 0.0556 0.8967 0.1731  5 Rh 2.44-2.59, 1 Ga 2.57
4 Ga 0.1033 0.5556 0.6731  5 Rh 2.44-2.59, 1 Ga 2.57
5 Ga 0.3967 0.9444 0.6731  5 Rh 2.44-2.59, 1 Ga 2.57
6 Ga 0.4444 0.6033 0.1731  5 Rh 2.44-2.59, 1 Ga 2.57
7 Ga 0.5556 0.3967 0.8269  5 Rh 2.44-2.59, 1 Ga 2.57
8 Ga 0.6033 0.0556 0.3269  5 Rh 2.44-2.59, 1 Ga 2.57
9 Ga 0.8967 0.4444 0.3269  5 Rh 2.44-2.59, 1 Ga 2.57
10 Ga 0.9444 0.1033 0.8269  5 Rh 2.44-2.59, 1 Ga 2.57
11 Rh 0.1095 0.8701 0.6612  5 Ga 2.44-2.59
12 Rh 0.1299 0.6095 0.1612  5 Ga 2.44-2.59
13 Rh 0.3701 0.8905 0.1612  5 Ga 2.44-2.59
14 Rh 0.3905 0.6299 0.6612  5 Ga 2.44-2.59
15 Rh 0.6095 0.3701 0.3388  5 Ga 2.44-2.59
16 Rh 0.6299 0.1095 0.8388  5 Ga 2.44-2.59
17 Rh 0.8701 0.3905 0.8388  5 Ga 2.44-2.59
18 Rh 0.8905 0.1299 0.3388  5 Ga 2.44-2.59

Results
DFT total energy   -103.31 eV per cell
Formation energy from the elements   -0.596 eV/atom
Total moment   0.000 μB per atom

=====

First-principles (PBE-GGA) data for a geometry-optimized SmTl4CdO8 structure, as listed in Alexandria.

a b c (Å): 6.9197 6.9197 6.9197
angles (deg): 59.72 59.72 59.72
With the nearest neighbours (Å) after each atom.
Sites, in units of the cell vectors:
1 Sm 0.0000 0.0000 0.0000  6 O 2.34-2.38
2 Tl 0.0004 0.0004 0.5039  6 O 2.33-2.35
3 Tl 0.0004 0.5039 0.0004  6 O 2.33-2.35
4 Tl 0.3768 0.3768 0.3768  4 O 2.28-2.35
5 Tl 0.5039 0.0004 0.0004  6 O 2.33-2.35
6 Cd 0.6234 0.6234 0.6234  4 O 2.25-2.36
7 O 0.2237 0.7606 0.7606  1 Cd 2.25, 1 Sm 2.34, 2 Tl 2.35
8 O 0.2385 0.2385 0.2385  4 Tl 2.33-2.35
9 O 0.2432 0.2432 0.7810  3 Tl 2.28-2.35, 1 Sm 2.38
10 O 0.2432 0.7810 0.2432  3 Tl 2.28-2.35, 1 Sm 2.38
11 O 0.7606 0.2237 0.7606  1 Cd 2.25, 1 Sm 2.34, 2 Tl 2.35
12 O 0.7606 0.7606 0.2237  1 Cd 2.25, 1 Sm 2.34, 2 Tl 2.35
13 O 0.7624 0.7624 0.7624  3 Tl 2.33, 1 Cd 2.36
14 O 0.7810 0.2432 0.2432  3 Tl 2.28-2.35, 1 Sm 2.38

Results
DFT total energy   -71.28 eV per cell
Formation energy (no corrections)   -1.179 eV per atom
Total moment   0.000 μB per atom

=====

First-principles (PBE-GGA) data for a geometry-optimized LiSb2Se structure, as listed in Alexandria.

a b c (Å): 8.6073 8.6073 8.6073
angles (deg): 24.67 24.67 24.67
With the nearest neighbours (Å) after each atom.
Sites, in units of the cell vectors:
1 Li 0.0000 0.0000 0.0000  6 Sb 3.03
2 Sb 0.2469 0.2469 0.2469  3 Se 2.92, 3 Li 3.03
3 Sb 0.7531 0.7531 0.7531  3 Se 2.92, 3 Li 3.03
4 Se 0.5000 0.5000 0.5000  6 Sb 2.92

Results
DFT total energy   -13.84 eV per cell
Formation energy (no corrections)   -0.049 eV per atom
Total moment   0.000 μB per atom

=====

What did the first record say?
First-principles (PBE-GGA) data for a geometry-optimized TePtSeN2 structure, as listed in Alexandria.

a b c (Å): 3.8276 3.8276 8.4254
angles (deg): 90.00 90.00 90.00
With the nearest neighbours (Å) after each atom.
Sites, in units of the cell vectors:
1 Te 0.0000 0.0000 0.0000  4 Se 2.71
2 Pt 0.0000 0.0000 0.5000  4 N 1.91
3 Se 0.5000 0.5000 0.0000  4 Te 2.71
4 N 0.0000 0.5000 0.5000  2 Pt 1.91
5 N 0.5000 0.0000 0.5000  2 Pt 1.91

Results
DFT total energy   -23.76 eV per cell
Formation energy (no corrections)   1.111 eV per atom
Total moment   0.000 μB per atom
E above lowest polymorph   0 meV per atom

=====

Q: What is the total moment in the twelfth record?
A: 0.000 μB per atom

=====

What did the fifth record say?
First-principles (PBE-GGA) data for a geometry-optimized CaTi2SI structure, as listed in Alexandria.

a b c (Å): 5.3141 5.3141 4.8719
angles (deg): 90.00 90.00 90.00
With the nearest neighbours (Å) after each atom.
Sites, in units of the cell vectors:
1 Ca 0.0000 0.0000 0.0000  2 S 2.44, 4 Ti 2.66
2 Ti 0.0000 0.5000 0.0000  2 Ca 2.66
3 Ti 0.5000 0.0000 0.0000  2 Ca 2.66
4 S 0.0000 0.0000 0.5000  2 Ca 2.44
5 I 0.5000 0.5000 0.5000  8 Ti 3.60, 4 S 3.76

Results
DFT total energy   -18.15 eV per cell
Formation energy (no corrections)   1.064 eV per atom
Total moment   0.000 μB per atom
E above lowest polymorph   365 meV per atom